# 1
Below is an optimized crystal structure of ZrBeCr2, with properties calculated at the PBE-GGA level.

Summary:
As for the space group: No. 123. The total energy comes out at -7.771 eV per atom.

abc: 3.0979 3.1024 6.5086
angles: 61.56 90.00 90.00
Positions (direct):
Cr: 0.0000 0.0775 0.9224
Cr: 0.0000 0.4225 0.5776
Zr: 0.5000 0.2500 0.2500
Be: 0.5000 0.7500 0.7500

# 2
Below is an optimized crystal structure of BaTc2SnSb, with properties calculated at the PBE-GGA level.

Summary:
As for the space group: No. 123. The calculation puts the uncorrected formation energy at 1.221 eV/atom. The total energy comes out at -4.935 eV per atom.

abc: 5.1134 6.3007 5.1134
angles: 90.00 90.00 90.00
Positions (direct):
Tc: 0.0000 0.0000 0.5000
Tc: 0.5000 0.0000 0.0000
Sb: 0.5000 0.5000 0.5000
Ba: 0.0000 0.5000 0.0000
Sn: 0.0000 0.0000 0.0000

# 3
Below is an optimized crystal structure of AcSiTe2O8, with properties calculated at the PBE-GGA level.

Summary:
As for the space group: No. 12. The calculation puts the uncorrected formation energy at -1.763 eV/atom. The total energy comes out at -6.386 eV per atom.

abc: 5.0467 7.0648 7.2852
angles: 43.23 69.73 69.07
Positions (direct):
Ac: 0.5000 0.5000 0.5000
Si: 0.0000 0.0000 0.0000
Te: 0.2904 0.2201 0.1991
Te: 0.7096 0.7799 0.8009
O: 0.9431 0.3653 0.7485
O: 0.6956 0.4402 0.1687
O: 0.0569 0.6347 0.2515
O: 0.3044 0.5598 0.8313
O: 0.6517 0.9956 0.2004
O: 0.3483 0.0044 0.7996
O: 0.1522 0.9956 0.2004
O: 0.8478 0.0044 0.7996

# 4
Below is an optimized crystal structure of Pr2Sm4TmMg, with properties calculated at the PBE-GGA level.

Summary:
As for the space group: No. 123. The total energy comes out at -4.295 eV per atom.

abc: 5.0447 5.0488 11.4008
angles: 63.72 90.00 90.00
Positions (direct):
Pr: 0.0000 0.0000 0.0000
Pr: 0.5000 0.0000 0.5000
Sm: 0.0000 0.7498 0.7508
Sm: 0.0000 0.2502 0.2492
Sm: 0.5000 0.7499 0.2495
Sm: 0.5000 0.2501 0.7505
Tm: 0.0000 0.5000 0.5000
Mg: 0.5000 0.5000 0.0000